No. 1
# TcAg2P GGA-PBE relaxed
data_TcAg2P
_space_group_name_H-M_alt 'P 1'
_space_group_IT_number 1
_cell_length_a 5.4662
_cell_length_b 5.4662
_cell_length_c 5.4662
_cell_angle_alpha 147.39
_cell_angle_beta 130.30
_cell_angle_gamma 60.72
loop_
_space_group_symop_operation_xyz
'x,y,z'
loop_
_atom_site_label
_atom_site_type_symbol
_atom_site_fract_x
_atom_site_fract_y
_atom_site_fract_z
_atom_site_occupancy
Tc1 Tc 0.2930 0.7930 0.5000 1
Ag1 Ag 0.0119 0.0119 0.0000 1
Ag2 Ag 0.7252 0.2252 0.5000 1
P1 P 0.4699 0.4699 0.0000 1
# space-group type	Imm2, No. 44
# energy	-5.0169	eV per atom

No. 2
# Sr2ZnPd5Au2 GGA-PBE relaxed
data_Sr2ZnPd5Au2
_space_group_name_H-M_alt 'P 1'
_space_group_IT_number 1
_cell_length_a 3.9123
_cell_length_b 10.1398
_cell_length_c 10.1398
_cell_angle_alpha 90.00
_cell_angle_beta 90.00
_cell_angle_gamma 90.00
loop_
_space_group_symop_operation_xyz
'x,y,z'
loop_
_atom_site_label
_atom_site_type_symbol
_atom_site_fract_x
_atom_site_fract_y
_atom_site_fract_z
_atom_site_occupancy
Sr1 Sr 0.0000 0.6708 0.1708 1
Sr2 Sr 0.0000 0.3292 0.8292 1
Sr3 Sr 0.0000 0.1708 0.3292 1
Sr4 Sr 0.0000 0.8292 0.6708 1
Zn1 Zn 0.0000 0.0000 0.0000 1
Zn2 Zn 0.0000 0.5000 0.5000 1
Pd1 Pd 0.5000 0.1873 0.0560 1
Pd2 Pd 0.5000 0.8127 0.9440 1
Pd3 Pd 0.5000 0.0560 0.8127 1
Pd4 Pd 0.5000 0.6873 0.4440 1
Pd5 Pd 0.5000 0.9440 0.1873 1
Pd6 Pd 0.5000 0.3127 0.5560 1
Pd7 Pd 0.5000 0.5560 0.6873 1
Pd8 Pd 0.5000 0.4440 0.3127 1
Pd9 Pd 0.5000 0.5000 0.0000 1
Pd10 Pd 0.5000 0.0000 0.5000 1
Au1 Au 0.0000 0.1297 0.6297 1
Au2 Au 0.0000 0.8703 0.3703 1
Au3 Au 0.0000 0.6297 0.8703 1
Au4 Au 0.0000 0.3703 0.1297 1
# space-group type	P4/mbm, No. 127
# energy	-4.1774	eV per atom

no.,formation enthalpy at 0 K (eV/atom)
1,0.353
2,-0.462